Entry from Alexandria: an optimized crystal structure of TbPa2Pt (PBE).

The space group is R-3m (No. 166, hexagonal axes) and the conventional cell measures 3.5308, 3.5308 and 29.0281 Å, with angles of 90.00, 90.00 and 120.00 degrees. Symmetry generates all atoms from Tb at (0.0000, 0.0000, 0.0000), Pa at (0.0000, 0.0000, 0.2366) and Pt at (0.0000, 0.0000, 0.5000).

For the formation energy, the calculation gives -0.175 eV/atom. The density of states at the Fermi level comes out at 7.81 states/eV/f.u. The spin magnetization is 0.000 Bohr magnetons per cell. For the volume, the calculation gives 26.12 Å³/atom.